The following is a PBE calculation of a relaxed structure of Ce4AgBi12, from Alexandria.

The structure in POSCAR format:
```
Ce4AgBi12
1.0
-2.891 1.820 -8.122
8.727 -1.198 -0.189
-3.908 -7.331 2.935
Bi Ce Ag
12 4 1
direct
0.000 0.722 0.722 Bi
0.722 0.722 0.000 Bi
0.000 0.278 0.278 Bi
0.750 0.500 0.250 Bi
0.500 0.750 0.250 Bi
0.278 0.000 0.278 Bi
0.722 0.000 0.722 Bi
0.250 0.750 0.500 Bi
0.500 0.250 0.750 Bi
0.278 0.278 0.000 Bi
0.250 0.500 0.750 Bi
0.750 0.250 0.500 Bi
0.500 0.000 0.000 Ce
0.500 0.500 0.500 Ce
0.000 0.000 0.500 Ce
0.000 0.500 0.000 Ce
0.000 0.000 0.000 Ag
```

Its calculated density is 10.02 g/cm³. Its spin magnetization is 3.62 μB/f.u. As for the formation energy from the elements: -0.319 eV/atom. Its space group is Im-3m.

---

The following is a PBE calculation of a relaxed structure of Tl8SbS6, from Alexandria.

The structure in POSCAR format:
```
Tl8SbS6
1.0
-5.150 6.275 4.517
0.566 -5.541 8.344
8.993 5.290 2.903
Tl S Sb
16 12 2
direct
0.805 0.500 0.977 Tl
0.041 0.239 0.669 Tl
0.959 0.739 0.169 Tl
0.959 0.261 0.169 Tl
0.041 0.761 0.669 Tl
0.765 0.500 0.518 Tl
0.235 0.680 0.376 Tl
0.576 0.205 0.162 Tl
0.235 0.000 0.018 Tl
0.235 0.320 0.376 Tl
0.576 0.795 0.162 Tl
0.195 0.000 0.477 Tl
0.765 0.820 0.876 Tl
0.424 0.295 0.662 Tl
0.424 0.705 0.662 Tl
0.765 0.180 0.876 Tl
0.007 0.000 0.822 S
0.720 0.800 0.602 S
0.720 0.200 0.602 S
0.280 0.700 0.102 S
0.522 0.500 0.843 S
0.478 0.000 0.343 S
0.079 0.500 0.830 S
0.280 0.300 0.102 S
0.555 0.000 0.961 S
0.445 0.500 0.461 S
0.993 0.500 0.322 S
0.921 0.000 0.330 S
0.708 0.000 0.469 Sb
0.292 0.500 0.969 Sb
```

Its calculated density is 6.41 g/cm³. Its spin magnetization is 0.00 μB/f.u. The formation energy without anion corrections is -236 meV/atom. Its space group is Pmn2_1.

---

The following is a PBE calculation of a relaxed structure of NaSr2MgAu, from Alexandria.

The structure in POSCAR format:
```
NaSr2MgAu
1.0
-5.179 -2.192 -2.462
-0.956 -3.389 5.029
-2.699 3.958 2.154
Na Au Sr Mg
1 1 2 1
direct
0.500 0.500 0.500 Na
0.000 0.000 0.000 Au
0.000 0.500 0.000 Sr
0.500 0.000 0.000 Sr
0.000 0.000 0.500 Mg
```

Its calculated density is 3.52 g/cm³. Its spin magnetization is 0.00 μB/f.u. As for the formation energy from the elements: -0.285 eV/atom. Its space group is P4/mmm.

---

The following is a PBE calculation of a relaxed structure of CsH2Se2, from Alexandria.

The structure in POSCAR format:
```
CsH2Se2
1.0
-4.973 2.606 8.999
-0.170 -2.627 -10.275
-0.311 -5.209 1.337
Se H Cs
4 4 2
direct
0.525 0.975 0.750 Se
0.204 0.296 0.750 Se
0.475 0.025 0.250 Se
0.796 0.704 0.250 Se
0.647 0.452 0.250 H
0.048 0.853 0.250 H
0.952 0.147 0.750 H
0.353 0.548 0.750 H
0.082 0.418 0.250 Cs
0.918 0.582 0.750 Cs
```

Its calculated density is 3.32 g/cm³. Its spin magnetization is 0.00 μB/f.u. The uncorrected energy is -3.254 eV per atom. Its space group is Cmcm.

---

The following is a PBE calculation of a relaxed structure of K2SrAu, from Alexandria.

The structure in POSCAR format:
```
K2SrAu
1.0
-1.366 12.029 2.006
-4.919 11.231 -0.496
-5.070 10.488 3.857
K Sr Au
2 1 1
direct
0.525 0.525 0.525 K
0.975 0.975 0.975 K
0.750 0.750 0.750 Sr
0.250 0.250 0.250 Au
```

Its calculated density is 2.97 g/cm³. Its spin magnetization is 0.00 μB/f.u. As for the formation energy from the elements: -0.074 eV/atom. Its space group is R-3m.

---

The following is a PBE calculation of a relaxed structure of HoNbCuRu, from Alexandria.

The structure in POSCAR format:
```
HoNbCuRu
1.0
4.643 0.000 0.000
2.321 4.021 0.000
2.321 1.340 3.791
Ho Cu Nb Ru
1 1 1 1
direct
0.500 0.500 0.500 Ho
0.750 0.750 0.750 Cu
0.000 0.000 0.000 Nb
0.250 0.250 0.250 Ru
```

Its calculated density is 9.91 g/cm³. Its spin magnetization is 0.00 μB/f.u. As for the formation energy from the elements: -0.084 eV/atom. Its space group is F-43m.

---

The following is a PBE calculation of a relaxed structure of K2MnTe2, from Alexandria.

The structure in POSCAR format:
```
K2MnTe2
1.0
10.381 0.000 0.000
0.000 10.381 0.000
0.000 0.000 3.274
Te Mn K
4 2 4
direct
0.831 0.331 0.500 Te
0.169 0.669 0.500 Te
0.331 0.169 0.500 Te
0.669 0.831 0.500 Te
0.500 0.500 0.000 Mn
0.000 0.000 0.000 Mn
0.628 0.128 0.000 K
0.872 0.628 0.000 K
0.128 0.372 0.000 K
0.372 0.872 0.000 K
```

Its calculated density is 3.66 g/cm³. Its spin magnetization is 5.13 μB/f.u. The formation energy without anion corrections is -58 meV/atom. Its space group is P4/mbm.

---

The following is a PBE calculation of a relaxed structure of Sr2MgBe, from Alexandria.

The structure in POSCAR format:
```
Sr2MgBe
1.0
8.973 0.000 0.000
0.000 8.973 0.000
4.486 4.486 3.502
Sr Be Mg
4 2 2
direct
0.177 0.625 0.250 Sr
0.375 0.427 0.750 Sr
0.573 0.125 0.250 Sr
0.875 0.823 0.750 Sr
0.250 0.750 0.500 Be
0.500 0.500 0.000 Be
0.750 0.250 0.500 Mg
0.000 0.000 0.000 Mg
```

Its calculated density is 2.46 g/cm³. Its spin magnetization is 0.00 μB/f.u. As for the formation energy from the elements: 0.542 eV/atom. Its space group is I-42d.